Material: LaNb2Ni2
Method: DFT, PBE-GGA
State: optimized geometry

Geometry as POSCAR:
```
LaNb2Ni2
1.0
4.622 0.000 0.000
0.000 4.622 0.000
2.311 2.311 4.694
Ni Nb La
2 2 1
direct
0.750 0.250 0.500
0.250 0.750 0.500
0.350 0.350 0.299
0.650 0.650 0.701
0.000 0.000 0.000
```

Properties
crystal system = tetragonal
energy of formation = 156 meV per atom
distance to the lowest polymorph of the same formula = 174 meV/atom
uncorrected energy = -7.169 eV/atom
space-group type = I4/mmm (139)